Record 1
The following is a DFT calculation (PBE) of a relaxed YInCl crystal.

a b c (Å): 3.6216 3.6216 7.8820
angles (deg): 90.00 90.00 120.00
With the nearest neighbours (Å) after each atom.
Fractional positions:
Y1 0.0000 0.0000 0.0000  3 Cl 2.76
In1 0.6667 0.3333 0.6911  3 Y 3.21
Cl1 0.3333 0.6667 0.2286  3 Y 2.76

Results
- symmetry = P3m1
- raw formation energy (eV/atom) = -0.939
- energy above the lowest structure with this stoichiometry (eV per atom) = 0.000


Record 2
The following is a DFT calculation (PBE) of a relaxed RbHoSn crystal.

a b c (Å): 5.2627 5.2627 12.0187
angles (deg): 102.59 102.59 59.95
With the nearest neighbours (Å) after each atom.
Fractional positions:
Rb1 0.1156 0.1156 0.3480  3 Sn 3.69
Rb2 0.8844 0.8844 0.6520  3 Sn 3.69
Ho1 0.3016 0.3016 0.9040  4 Sn 3.07-3.15
Ho2 0.6984 0.6984 0.0960  4 Sn 3.07-3.15
Sn1 0.3891 0.3891 0.1680  4 Ho 3.07-3.15
Sn2 0.6109 0.6109 0.8320  4 Ho 3.07-3.15

Results
- symmetry = C2/m
- ΔH_f (0 K) (eV per formula unit) = -0.63